(w)
First-principles (GGA-PBE) data for crystalline Np2InS5 at its relaxed geometry, as listed in the Alexandria database.

Cell: 6.977 6.977 13.366 Å, 90.00 90.00 135.79°
Fractional coordinates of all 16 atoms:
Np (0.146, 0.854, 0.561)
Np (0.146, 0.854, 0.939)
Np (0.854, 0.146, 0.061)
Np (0.854, 0.146, 0.439)
In (0.194, 0.806, 0.250)
In (0.806, 0.194, 0.750)
S (0.050, 0.950, 0.113)
S (0.050, 0.950, 0.387)
S (0.241, 0.759, 0.750)
S (0.316, 0.684, 0.060)
S (0.316, 0.684, 0.440)
S (0.684, 0.316, 0.560)
S (0.684, 0.316, 0.940)
S (0.759, 0.241, 0.250)
S (0.950, 0.050, 0.613)
S (0.950, 0.050, 0.887)

(x)
First-principles (GGA-PBE) data for crystalline Np2InS5 at its relaxed geometry, as listed in the Alexandria database.

Cell: 7.548 11.610 3.809 Å, 90.00 90.00 90.00°
Fractional coordinates of all 16 atoms:
Np (0.025, 0.174, 0.000)
Np (0.475, 0.674, 0.000)
Np (0.525, 0.326, 0.000)
Np (0.975, 0.826, 0.000)
In (0.000, 0.500, 0.500)
In (0.500, 0.000, 0.500)
S (0.000, 0.000, 0.500)
S (0.169, 0.398, 0.000)
S (0.186, 0.700, 0.500)
S (0.314, 0.200, 0.500)
S (0.331, 0.898, 0.000)
S (0.500, 0.500, 0.500)
S (0.669, 0.102, 0.000)
S (0.686, 0.800, 0.500)
S (0.814, 0.300, 0.500)
S (0.831, 0.602, 0.000)

Relative to the most stable structure, the computed energies are (w) 0.086; (x) 0.000, all in eV/atom.

(w)
First-principles (GGA-PBE) data for crystalline NpInS3 at its relaxed geometry, as listed in the Alexandria database.

Cell: 8.419 8.419 7.301 Å, 103.52 103.52 28.27°
Fractional coordinates of all 10 atoms:
Np (0.217, 0.217, 0.237)
Np (0.783, 0.783, 0.763)
In (0.477, 0.477, 0.299)
In (0.523, 0.523, 0.701)
S (0.049, 0.049, 0.200)
S (0.191, 0.191, 0.597)
S (0.340, 0.340, 0.027)
S (0.660, 0.660, 0.973)
S (0.809, 0.809, 0.403)
S (0.951, 0.951, 0.800)

(x)
First-principles (GGA-PBE) data for crystalline NpInS3 at its relaxed geometry, as listed in the Alexandria database.

Cell: 6.671 3.749 18.246 Å, 90.00 90.00 90.00°
Fractional coordinates of all 20 atoms:
Np (0.190, 0.250, 0.189)
Np (0.310, 0.750, 0.689)
Np (0.690, 0.250, 0.311)
Np (0.810, 0.750, 0.811)
In (0.231, 0.750, 0.481)
In (0.269, 0.250, 0.981)
In (0.731, 0.750, 0.019)
In (0.769, 0.250, 0.519)
S (0.048, 0.250, 0.411)
S (0.075, 0.250, 0.753)
S (0.094, 0.750, 0.074)
S (0.406, 0.250, 0.574)
S (0.425, 0.750, 0.253)
S (0.452, 0.750, 0.911)
S (0.548, 0.250, 0.089)
S (0.575, 0.250, 0.747)
S (0.594, 0.750, 0.426)
S (0.906, 0.250, 0.926)
S (0.925, 0.750, 0.247)
S (0.952, 0.750, 0.589)

Relative to the most stable structure, the computed energies are (w) 0.027; (x) 0.000, all in eV/atom.

(w)
First-principles (GGA-PBE) data for crystalline NpInS at its relaxed geometry, as listed in the Alexandria database.

Cell: 19.280 3.783 4.011 Å, 90.00 90.00 90.00°
Fractional coordinates of all 12 atoms:
Np (0.174, 0.250, 0.246)
Np (0.326, 0.750, 0.746)
Np (0.674, 0.250, 0.254)
Np (0.826, 0.750, 0.754)
In (0.032, 0.750, 0.250)
In (0.468, 0.250, 0.750)
In (0.532, 0.750, 0.250)
In (0.968, 0.250, 0.750)
S (0.185, 0.750, 0.746)
S (0.315, 0.250, 0.246)
S (0.685, 0.750, 0.754)
S (0.815, 0.250, 0.254)

(x)
First-principles (GGA-PBE) data for crystalline NpInS at its relaxed geometry, as listed in the Alexandria database.

Cell: 3.567 3.567 6.703 Å, 90.00 90.00 120.00°
Fractional coordinates of all 3 atoms:
Np (0.000, 0.000, 0.000)
In (0.333, 0.667, 0.599)
S (0.667, 0.333, 0.269)

Relative to the most stable structure, the computed energies are (w) 0.000; (x) 0.431, all in eV/atom.

(w)
First-principles (GGA-PBE) data for crystalline Np2InSb at its relaxed geometry, as listed in the Alexandria database.

Cell: 3.331 3.331 9.151 Å, 90.00 90.00 90.00°
Fractional coordinates of all 4 atoms:
Np (0.000, 0.000, 0.241)
Np (0.000, 0.000, 0.759)
In (0.500, 0.500, 0.500)
Sb (0.500, 0.500, 0.000)

(x)
First-principles (GGA-PBE) data for crystalline Np2InSb at its relaxed geometry, as listed in the Alexandria database.

Cell: 4.683 4.683 4.627 Å, 90.00 90.00 90.00°
Fractional coordinates of all 4 atoms:
Np (0.000, 0.500, 0.000)
Np (0.500, 0.000, 0.000)
In (0.000, 0.000, 0.500)
Sb (0.500, 0.500, 0.500)

Relative to the most stable structure, the computed energies are (w) 0.028; (x) 0.000, all in eV/atom.

(w)
First-principles (GGA-PBE) data for crystalline NpInSb2 at its relaxed geometry, as listed in the Alexandria database.

Cell: 4.884 4.884 4.258 Å, 90.00 90.00 90.00°
Fractional coordinates of all 4 atoms:
Np (0.000, 0.000, 0.000)
In (0.500, 0.500, 0.000)
Sb (0.000, 0.500, 0.500)
Sb (0.500, 0.000, 0.500)

(x)
First-principles (GGA-PBE) data for crystalline NpInSb2 at its relaxed geometry, as listed in the Alexandria database.

Cell: 4.039 4.039 6.521 Å, 90.00 90.00 90.00°
Fractional coordinates of all 4 atoms:
Np (0.000, 0.000, 0.000)
In (0.000, 0.000, 0.500)
Sb (0.500, 0.500, 0.235)
Sb (0.500, 0.500, 0.765)

Relative to the most stable structure, the computed energies are (w) 0.000; (x) 0.029, all in eV/atom.

(w)
First-principles (GGA-PBE) data for crystalline NpInSb2 at its relaxed geometry, as listed in the Alexandria database.

Cell: 12.596 12.596 12.596 Å, 14.70 14.70 14.70°
Fractional coordinates of all 4 atoms:
Np (0.000, 0.000, 0.000)
In (0.500, 0.500, 0.500)
Sb (0.085, 0.085, 0.085)
Sb (0.915, 0.915, 0.915)

(x)
First-principles (GGA-PBE) data for crystalline NpInSb2 at its relaxed geometry, as listed in the Alexandria database.

Cell: 7.154 7.154 7.154 Å, 37.63 37.63 37.63°
Fractional coordinates of all 4 atoms:
Np (0.000, 0.000, 0.000)
In (0.830, 0.830, 0.830)
Sb (0.413, 0.413, 0.413)
Sb (0.592, 0.592, 0.592)

Relative to the most stable structure, the computed energies are (w) 0.300; (x) 0.000, all in eV/atom.

(w)
First-principles (GGA-PBE) data for crystalline NpInSn2 at its relaxed geometry, as listed in the Alexandria database.

Cell: 4.700 4.700 4.526 Å, 90.00 90.00 90.00°
Fractional coordinates of all 4 atoms:
Np (0.000, 0.000, 0.000)
In (0.500, 0.500, 0.000)
Sn (0.000, 0.500, 0.500)
Sn (0.500, 0.000, 0.500)

(x)
First-principles (GGA-PBE) data for crystalline NpInSn2 at its relaxed geometry, as listed in the Alexandria database.

Cell: 7.024 7.024 7.024 Å, 38.05 38.05 38.05°
Fractional coordinates of all 4 atoms:
Np (0.000, 0.000, 0.000)
In (0.826, 0.826, 0.826)
Sn (0.417, 0.417, 0.417)
Sn (0.580, 0.580, 0.580)

Relative to the most stable structure, the computed energies are (w) 0.000; (x) 0.353, all in eV/atom.

(w)
First-principles (GGA-PBE) data for crystalline NpInSn2 at its relaxed geometry, as listed in the Alexandria database.

Cell: 5.323 5.323 5.323 Å, 60.00 60.00 60.00°
Fractional coordinates of all 4 atoms:
Np (0.000, 0.000, 0.000)
In (0.500, 0.500, 0.500)
Sn (0.250, 0.250, 0.250)
Sn (0.750, 0.750, 0.750)

(x)
First-principles (GGA-PBE) data for crystalline NpInSn2 at its relaxed geometry, as listed in the Alexandria database.

Cell: 3.918 3.918 6.740 Å, 90.00 90.00 90.00°
Fractional coordinates of all 4 atoms:
Np (0.000, 0.000, 0.000)
In (0.000, 0.000, 0.500)
Sn (0.500, 0.500, 0.266)
Sn (0.500, 0.500, 0.734)

Relative to the most stable structure, the computed energies are (w) 0.139; (x) 0.000, all in eV/atom.

(w)
First-principles (GGA-PBE) data for crystalline NpInTc2 at its relaxed geometry, as listed in the Alexandria database.

Cell: 4.678 4.678 4.678 Å, 60.00 60.00 60.00°
Fractional coordinates of all 4 atoms:
Np (0.000, 0.000, 0.000)
In (0.500, 0.500, 0.500)
Tc (0.250, 0.250, 0.250)
Tc (0.750, 0.750, 0.750)

(x)
First-principles (GGA-PBE) data for crystalline NpInTc2 at its relaxed geometry, as listed in the Alexandria database.

Cell: 4.522 4.522 3.491 Å, 90.00 90.00 90.00°
Fractional coordinates of all 4 atoms:
Np (0.000, 0.000, 0.000)
In (0.500, 0.500, 0.000)
Tc (0.000, 0.500, 0.500)
Tc (0.500, 0.000, 0.500)

Relative to the most stable structure, the computed energies are (w) 0.065; (x) 0.000, all in eV/atom.

(w)
First-principles (GGA-PBE) data for crystalline NpInTe at its relaxed geometry, as listed in the Alexandria database.

Cell: 8.327 8.327 6.611 Å, 90.00 90.00 157.39°
Fractional coordinates of all 6 atoms:
Np (0.110, 0.890, 0.500)
Np (0.890, 0.110, 0.000)
In (0.085, 0.915, 0.994)
In (0.915, 0.085, 0.494)
Te (0.264, 0.736, 0.762)
Te (0.736, 0.264, 0.262)

(x)
First-principles (GGA-PBE) data for crystalline NpInTe at its relaxed geometry, as listed in the Alexandria database.

Cell: 6.225 6.225 6.225 Å, 144.44 144.44 51.16°
Fractional coordinates of all 3 atoms:
Np (0.000, 0.000, 0.000)
In (0.682, 0.682, 0.000)
Te (0.348, 0.348, 0.000)

Relative to the most stable structure, the computed energies are (w) 0.288; (x) 0.000, all in eV/atom.

(w)
First-principles (GGA-PBE) data for crystalline Np2InTe4 at its relaxed geometry, as listed in the Alexandria database.

Cell: 7.811 12.520 4.603 Å, 90.00 90.00 90.00°
Fractional coordinates of all 14 atoms:
Np (0.091, 0.186, 0.000)
Np (0.409, 0.686, 0.000)
Np (0.591, 0.314, 0.000)
Np (0.909, 0.814, 0.000)
In (0.000, 0.500, 0.500)
In (0.500, 0.000, 0.500)
Te (0.136, 0.720, 0.500)
Te (0.246, 0.951, 0.000)
Te (0.254, 0.451, 0.000)
Te (0.364, 0.220, 0.500)
Te (0.636, 0.780, 0.500)
Te (0.746, 0.549, 0.000)
Te (0.754, 0.049, 0.000)
Te (0.864, 0.280, 0.500)

(x)
First-principles (GGA-PBE) data for crystalline Np2InTe4 at its relaxed geometry, as listed in the Alexandria database.

Cell: 9.192 9.187 9.136 Å, 60.22 60.16 59.62°
Fractional coordinates of all 14 atoms:
Np (0.000, 0.000, 0.000)
Np (0.000, 0.000, 0.500)
Np (0.000, 0.500, 0.000)
Np (0.500, 0.000, 0.000)
In (0.375, 0.375, 0.375)
In (0.625, 0.625, 0.625)
Te (0.221, 0.757, 0.760)
Te (0.239, 0.240, 0.243)
Te (0.240, 0.239, 0.779)
Te (0.243, 0.779, 0.239)
Te (0.757, 0.221, 0.761)
Te (0.760, 0.761, 0.221)
Te (0.761, 0.760, 0.757)
Te (0.779, 0.243, 0.240)

Relative to the most stable structure, the computed energies are (w) 0.022; (x) 0.000, all in eV/atom.

(w)
First-principles (GGA-PBE) data for crystalline NpIn3Te4 at its relaxed geometry, as listed in the Alexandria database.

Cell: 16.048 16.048 16.048 Å, 15.76 15.76 15.76°
Fractional coordinates of all 8 atoms:
Np (0.000, 0.000, 0.000)
In (0.246, 0.246, 0.246)
In (0.500, 0.500, 0.500)
In (0.754, 0.754, 0.754)
Te (0.130, 0.130, 0.130)
Te (0.371, 0.371, 0.371)
Te (0.629, 0.629, 0.629)
Te (0.870, 0.870, 0.870)

(x)
First-principles (GGA-PBE) data for crystalline NpIn3Te4 at its relaxed geometry, as listed in the Alexandria database.

Cell: 6.321 13.156 6.321 Å, 90.00 90.00 90.00°
Fractional coordinates of all 16 atoms:
Np (0.250, 0.250, 0.249)
Np (0.750, 0.750, 0.751)
In (0.250, 0.000, 0.750)
In (0.250, 0.500, 0.750)
In (0.250, 0.750, 0.251)
In (0.750, 0.000, 0.250)
In (0.750, 0.250, 0.749)
In (0.750, 0.500, 0.250)
Te (0.250, 0.009, 0.250)
Te (0.250, 0.250, 0.749)
Te (0.250, 0.491, 0.250)
Te (0.250, 0.750, 0.751)
Te (0.750, 0.250, 0.249)
Te (0.750, 0.509, 0.750)
Te (0.750, 0.750, 0.251)
Te (0.750, 0.991, 0.750)

Relative to the most stable structure, the computed energies are (w) 0.000; (x) 0.020, all in eV/atom.